{"formula": "Pr2Si6Pd21", "functional": "PBE", "state": "optimized geometry", "sg": "Fm-3m (225)", "lattice_angstrom": [[0.0000, 6.1578, 6.1578], [6.1578, 0.0000, 6.1578], [6.1578, 6.1578, 0.0000]], "species": ["Pr", "Pr", "Si", "Si", "Si", "Si", "Si", "Si", "Pd", "Pd", "Pd", "Pd", "Pd", "Pd", "Pd", "Pd", "Pd", "Pd", "Pd", "Pd", "Pd", "Pd", "Pd", "Pd", "Pd", "Pd", "Pd", "Pd", "Pd"], "fractional_positions": [[0.2500, 0.2500, 0.2500], [0.7500, 0.7500, 0.7500], [0.2358, 0.2358, 0.7642], [0.2358, 0.7642, 0.2358], [0.2358, 0.7642, 0.7642], [0.7642, 0.2358, 0.2358], [0.7642, 0.2358, 0.7642], [0.7642, 0.7642, 0.2358], [0.1144, 0.1144, 0.1144], [0.1144, 0.1144, 0.6568], [0.1144, 0.6568, 0.1144], [0.1557, 0.5000, 0.5000], [0.1557, 0.5000, 0.8443], [0.1557, 0.8443, 0.5000], [0.3432, 0.8856, 0.8856], [0.5000, 0.1557, 0.5000], [0.5000, 0.1557, 0.8443], [0.5000, 0.5000, 0.1557], [0.5000, 0.5000, 0.5000], [0.5000, 0.5000, 0.8443], [0.5000, 0.8443, 0.1557], [0.5000, 0.8443, 0.5000], [0.6568, 0.1144, 0.1144], [0.8443, 0.1557, 0.5000], [0.8443, 0.5000, 0.1557], [0.8443, 0.5000, 0.5000], [0.8856, 0.3432, 0.8856], [0.8856, 0.8856, 0.3432], [0.8856, 0.8856, 0.8856]]}

{"formula": "PrSi2Pd5", "functional": "PBE", "state": "optimized geometry", "sg": "Immm (71)", "lattice_angstrom": [[-1.9780, 3.5438, 4.8959], [1.9780, -3.5438, 4.8959], [1.9780, 3.5438, -4.8959]], "species": ["Pr", "Si", "Si", "Pd", "Pd", "Pd", "Pd", "Pd"], "fractional_positions": [[0.0000, 0.0000, 0.0000], [0.2562, 0.7562, 0.5000], [0.7438, 0.2438, 0.5000], [0.1524, 0.3479, 0.8045], [0.4566, 0.6521, 0.8045], [0.5000, 0.0000, 0.5000], [0.5434, 0.3479, 0.1955], [0.8476, 0.6521, 0.1955]]}

{"formula": "Pr2SiPd6", "functional": "PBE", "state": "optimized geometry", "sg": "C2/m (12)", "lattice_angstrom": [[5.0114, -2.8933, 0.0000], [5.0114, 2.8933, 0.0000], [-1.5154, 0.0000, 5.8453]], "species": ["Pr", "Pr", "Si", "Pd", "Pd", "Pd", "Pd", "Pd", "Pd"], "fractional_positions": [[0.1399, 0.1399, 0.3312], [0.8601, 0.8601, 0.6688], [0.5000, 0.5000, 0.5000], [0.1123, 0.6217, 0.1933], [0.3778, 0.3778, 0.7969], [0.3783, 0.8877, 0.8067], [0.6217, 0.1123, 0.1933], [0.6222, 0.6222, 0.2031], [0.8877, 0.3783, 0.8067]]}

{"formula": "PrSiPd", "functional": "PBE", "state": "optimized geometry", "sg": "P-6m2 (187)", "lattice_angstrom": [[4.2350, 0.0000, 0.0000], [-2.1175, 3.6676, 0.0000], [0.0000, 0.0000, 12.7347]], "species": ["Pr", "Pr", "Pr", "Si", "Si", "Si", "Pd", "Pd", "Pd"], "fractional_positions": [[0.0000, 0.0000, 0.0000], [0.0000, 0.0000, 0.3344], [0.0000, 0.0000, 0.6656], [0.3333, 0.6667, 0.5000], [0.6667, 0.3333, 0.1656], [0.6667, 0.3333, 0.8344], [0.3333, 0.6667, 0.1687], [0.3333, 0.6667, 0.8313], [0.6667, 0.3333, 0.5000]]}

What energy relative to the elements, uncorrected values result from the calculations? In sequence: -704 -783 -797 -888 meV/atom.